# 1
Compound: CaAcIrPt
Source: Alexandria via LeMat-Bulk
Functional: GGA-PBE
Structure: relaxed

The magnetization is 0.0 μB per formula unit. The calculation puts the formation energy at -62.0 kJ per mole of atoms. The calculation puts the energy at -5.896 eV/atom.

The structure belongs to space group F-43m (No. 216); the cell edges are 7.230, 7.230 and 7.230 Å and the angles 90.00°, 90.00° and 90.00°. Symmetry generates all atoms from Ca at (0.000, 0.000, 0.000), Ac at (0.000, 0.000, 0.500), Ir at (0.250, 0.250, 0.750) and Pt at (0.250, 0.250, 0.250).

# 2
Compound: CaAcIrRh
Source: Alexandria via LeMat-Bulk
Functional: GGA-PBE
Structure: relaxed

The magnetization is 0.0 μB per formula unit. The calculation puts the formation energy at -36.3 kJ per mole of atoms. The calculation puts the energy at -5.957 eV/atom.

The structure belongs to space group F-43m (No. 216); the cell edges are 7.144, 7.144 and 7.144 Å and the angles 90.00°, 90.00° and 90.00°. Symmetry generates all atoms from Ca at (0.000, 0.000, 0.000), Ac at (0.000, 0.000, 0.500), Ir at (0.250, 0.250, 0.750) and Rh at (0.250, 0.250, 0.250).

# 3
Compound: CaAcSiIr
Source: Alexandria via LeMat-Bulk
Functional: GGA-PBE
Structure: relaxed

The magnetization is 0.0 μB per formula unit. The value obtained for the uncorrected formation energy is -60.9 kJ per mole of atoms. The calculation puts the energy at -5.729 eV/atom.

The structure belongs to space group R3m (No. 160, hexagonal axes); the cell edges are 4.2068, 4.2068 and 23.6940 Å and the angles 90.00°, 90.00° and 120.00°. Symmetry generates all atoms from Ca at (0.0000, 0.0000, 0.0000), Ac at (0.0000, 0.0000, 0.1695), Si at (0.0000, 0.0000, 0.4119) and Ir at (0.0000, 0.0000, 0.7540).